The following is a DFT calculation (PBE) of an optimized crystal structure of LaMnPCl2.

CIF file:
```
data_LaMnPCl2
_chemical_formula_sum 'La1 Mn1 P1 Cl2'
_space_group_name_H-M_alt 'P 1'
_space_group_IT_number 1
_space_group_name_Hall 'P 1'
_cell_length_a 5.4175
_cell_length_b 5.4175
_cell_length_c 5.8294
_cell_angle_alpha 90.00
_cell_angle_beta 90.00
_cell_angle_gamma 90.00
loop_
_atom_site_label
_atom_site_fract_x
_atom_site_fract_y
_atom_site_fract_z
Cl1 0.0000 0.5000 0.0000
Cl2 0.5000 0.0000 0.0000
Mn1 0.5000 0.5000 0.5000
P1 0.0000 0.0000 0.5000
La1 0.0000 0.0000 0.0000
```

E above lowest polymorph in eV/f.u.: 2.36
ΔE_f (raw) in eV/atom: -0.47
Electronic total energy in Ha/atom: -0.18782